Record 1
Sm3Te6As: optimized geometry, PBE.

Properties
- raw total energy (eV/atom) = -4.78
- space group = No. 36
- total moment (μB/cell) = 0.00
- raw formation energy (eV per atom) = -1.016

The structure in CIF format:
```
data_Sm3Te6As
_chemical_formula_sum 'Sm6 Te12 As2'
_cell_length_a 7.629
_cell_length_b 9.672
_cell_length_c 9.672
_cell_angle_alpha 102.07
_cell_angle_beta 90.00
_cell_angle_gamma 90.00
_symmetry_space_group_name_H-M 'P 1'
_symmetry_Int_Tables_number 1
loop_
_symmetry_equiv_pos_as_xyz
'x,y,z'
loop_
_atom_site_label
_atom_site_fract_x
_atom_site_fract_y
_atom_site_fract_z
Sm1 0.481 0.914 0.723
Sm2 0.981 0.723 0.914
Sm3 0.381 0.404 0.596
Sm4 0.881 0.596 0.404
Sm5 0.981 0.086 0.277
Sm6 0.481 0.277 0.086
Te1 0.180 0.698 0.627
Te2 0.680 0.627 0.698
Te3 0.212 0.440 0.905
Te4 0.712 0.905 0.440
Te5 0.188 0.031 0.969
Te6 0.638 0.222 0.778
Te7 0.138 0.778 0.222
Te8 0.688 0.969 0.031
Te9 0.212 0.095 0.560
Te10 0.712 0.560 0.095
Te11 0.180 0.373 0.302
Te12 0.680 0.302 0.373
As1 0.031 0.200 0.800
As2 0.531 0.800 0.200
```

Record 2
Sm2TeAs: optimized geometry, PBE.

Properties
- raw total energy (eV/atom) = -5.82
- space group = No. 59
- total moment (μB/cell) = 0.00
- raw formation energy (eV per atom) = -1.517
- relative energy among the computed polymorphs (eV per atom) = 0.0164

The structure in CIF format:
```
data_Sm2TeAs
_chemical_formula_sum 'Sm4 Te2 As2'
_cell_length_a 4.286
_cell_length_b 6.122
_cell_length_c 8.801
_cell_angle_alpha 90.00
_cell_angle_beta 90.00
_cell_angle_gamma 90.00
_symmetry_space_group_name_H-M 'P 1'
_symmetry_Int_Tables_number 1
loop_
_symmetry_equiv_pos_as_xyz
'x,y,z'
loop_
_atom_site_label
_atom_site_fract_x
_atom_site_fract_y
_atom_site_fract_z
Sm1 0.000 0.000 0.842
Sm2 0.000 0.000 0.392
Sm3 0.500 0.500 0.608
Sm4 0.500 0.500 0.158
Te1 0.000 0.500 0.882
Te2 0.500 0.000 0.118
As1 0.500 0.000 0.620
As2 0.000 0.500 0.380
```

Record 3
Sm3Te2As: optimized geometry, PBE.

Properties
- raw total energy (eV/atom) = -5.66
- space group = No. 71
- total moment (μB/cell) = 0.00
- raw formation energy (eV per atom) = -1.479
- relative energy among the computed polymorphs (eV per atom) = 0.0122

The structure in CIF format:
```
data_Sm3Te2As
_chemical_formula_sum 'Sm3 Te2 As1'
_cell_length_a 4.311
_cell_length_b 6.155
_cell_length_c 7.674
_cell_angle_alpha 113.65
_cell_angle_beta 106.31
_cell_angle_gamma 90.00
_symmetry_space_group_name_H-M 'P 1'
_symmetry_Int_Tables_number 1
loop_
_symmetry_equiv_pos_as_xyz
'x,y,z'
loop_
_atom_site_label
_atom_site_fract_x
_atom_site_fract_y
_atom_site_fract_z
Sm1 0.854 0.354 0.208
Sm2 0.146 0.646 0.792
Sm3 0.500 0.000 0.500
Te1 0.827 0.827 0.154
Te2 0.173 0.173 0.846
As1 0.500 0.500 0.500
```

- Number 2 is which compound?
  Sm2TeAs

- Which value of raw formation energy does entry 3 give?
  -1.479 eV per atom